VASP calculation (GGA-PBE) on LiTlOs after structural relaxation.

The structure in extended XYZ format:
```
3
Lattice="0.000 2.433 7.054 1.548 0.000 7.054 1.548 2.433 0.000" Properties=species:S:1:pos:R:3 pbc="T T T"
Li 0.000 0.000 0.000
Tl 1.548 2.433 4.547
Os 1.548 2.433 9.144
```

Calculated values
raw total energy	-4.55	eV/atom
theoretical density	12.554	g/cm³
DFT formation energy	14.4	kcal/mol of atoms

VASP calculation (GGA-PBE) on Li2TlOs after structural relaxation.

The structure in extended XYZ format:
```
4
Lattice="2.774 0.000 0.000 0.000 2.774 0.000 0.000 0.000 8.939" Properties=species:S:1:pos:R:3 pbc="T T T"
Li 0.000 0.000 1.940
Li 0.000 0.000 6.999
Tl 1.387 1.387 4.469
Os 1.387 1.387 0.000
```

Calculated values
raw total energy	-4.01	eV/atom
theoretical density	9.864	g/cm³
DFT formation energy	8.1	kcal/mol of atoms

VASP calculation (GGA-PBE) on LiTlOs2 after structural relaxation.

The structure in extended XYZ format:
```
4
Lattice="1.428 0.824 9.223 -1.428 0.824 9.223 0.000 -1.649 9.223" Properties=species:S:1:pos:R:3 pbc="T T T"
Li 0.000 0.000 0.000
Tl 0.000 0.000 13.834
Os 0.000 0.000 6.993
Os 0.000 0.000 20.675
```

Calculated values
raw total energy	-5.78	eV/atom
theoretical density	15.084	g/cm³
DFT formation energy	20.8	kcal/mol of atoms